Record 1
4
Lattice="0.006 4.046 1.219 -0.449 0.976 4.086 6.631 1.422 2.572" Properties=species:S:1:pos:R:3 comment="MgMnSe2 GGA-PBE optimized geometry" e_tot_ev_per_atom=-5.252 formation_energy_uncorrected_ev_per_atom=-0.8191 total_magnetization_mub_per_fu=5.00 pbc="T T T"
Se 3.477 1.796 3.858
Se 0.333 2.621 1.132
Mn 4.444 4.138 3.405
Mg 0.895 1.891 3.552



Record 2
16
Lattice="-1.701 4.742 5.896 5.795 -3.805 4.732 2.290 2.938 -6.802" Properties=species:S:1:pos:R:3 comment="K4CoIr3Se8 GGA-PBE optimized geometry" e_tot_ev_per_atom=-4.727 formation_energy_uncorrected_ev_per_atom=-0.6051 total_magnetization_mub_per_fu=0.00 pbc="T T T"
Se 3.657 2.194 4.391
Se 5.650 1.285 -2.013
K 0.000 0.000 0.000
Ir 4.043 -0.434 -1.035
Ir 3.192 1.937 1.913
Se 4.479 -0.218 1.467
Ir 2.047 0.468 5.314
Se 1.906 4.092 2.359
Se 1.604 0.163 2.822
Se 0.734 2.589 5.839
Co 2.898 -1.903 2.366
K 1.145 1.469 -3.401
K 0.295 3.840 -0.453
Se 2.727 1.681 -0.565
Se 4.780 3.712 1.004
K -0.850 2.371 2.948



Record 3
4
Lattice="3.671 0.000 0.000 0.000 3.671 0.000 0.000 0.000 6.660" Properties=species:S:1:pos:R:3 comment="LiSb2P GGA-PBE optimized geometry" e_tot_ev_per_atom=-3.880 formation_energy_uncorrected_ev_per_atom=0.0119 total_magnetization_mub_per_fu=0.00 pbc="T T T"
P 1.836 1.836 4.941
Sb 1.836 1.836 2.272
Li 0.000 0.000 3.364
Sb 0.000 0.000 6.073



Record 4
4
Lattice="5.115 0.000 0.000 2.557 4.430 0.000 2.557 1.477 4.176" Properties=species:S:1:pos:R:3 comment="DyZrTlAg GGA-PBE optimized geometry" e_tot_ev_per_atom=-4.720 delta_e_f_ev_per_atom=-0.128 total_magnetization_mub_per_fu=0.93 pbc="T T T"
Ag 0.000 0.000 0.000
Zr 7.672 4.430 3.132
Dy 2.557 1.477 1.044
Tl 5.115 2.953 2.088



Record 5
12
Lattice="-4.699 -1.572 3.558 5.707 -1.231 1.769 0.235 11.141 3.491" Properties=species:S:1:pos:R:3 comment="CeDy6Er2Tm3 GGA-PBE optimized geometry" e_tot_ev_per_atom=-4.636 delta_e_f_ev_per_atom=0.038 total_magnetization_mub_per_fu=1.19 pbc="T T T"
Tm 0.621 4.169 4.409
Tm -2.840 4.055 5.004
Tm 4.083 4.283 3.814
Er 2.237 -1.345 2.365
Dy 0.817 0.687 4.883
Ce 0.000 0.000 0.000
Dy -0.793 6.187 6.908
Dy 2.657 6.301 6.315
Er -1.229 -1.458 2.961
Dy 2.036 2.151 1.909
Dy -1.415 2.038 2.503
Dy 0.426 7.651 3.935



Record 6
6
Lattice="3.849 0.000 -0.877 -0.200 3.844 -0.878 -0.012 -0.011 8.834" Properties=species:S:1:pos:R:3 comment="Np3P2S GGA-PBE optimized geometry" e_tot_ev_per_atom=-10.010 formation_energy_uncorrected_ev_per_atom=-1.0483 total_magnetization_mub_per_fu=11.64 pbc="T T T"
Np 0.969 1.027 4.301
Np 3.399 3.587 6.080
P 0.363 0.388 1.640
Np 2.191 2.314 0.780
S 1.574 1.665 6.957
P 2.798 2.953 3.441



Record 7
5
Lattice="-0.362 5.358 -3.436 1.767 -3.222 -5.210 -3.268 0.258 -5.169" Properties=species:S:1:pos:R:3 comment="K2Au2Cl GGA-PBE optimized geometry" e_tot_ev_per_atom=-2.637 formation_energy_uncorrected_ev_per_atom=-0.5176 total_magnetization_mub_per_fu=0.00 pbc="T T T"
Au -0.573 0.808 -4.595
K -1.464 3.342 -6.464
Cl 0.000 0.000 0.000
K -0.399 -0.948 -7.351
Au -1.289 1.586 -9.221



Record 8
4
Lattice="4.292 0.334 0.426 2.711 3.344 0.426 2.421 1.272 7.431" Properties=species:S:1:pos:R:3 comment="Zn2TeAs GGA-PBE optimized geometry" e_tot_ev_per_atom=-2.702 formation_energy_uncorrected_ev_per_atom=-0.1173 total_magnetization_mub_per_fu=0.00 pbc="T T T"
Te 1.261 0.662 1.614
As 5.647 2.966 5.816
Zn 8.916 4.682 8.157
Zn 7.737 4.063 5.122